[1]
Below is a geometry-optimized AlInSe2 structure, with properties calculated at the PBE level.

Values from the calculation:
* uncorrected formation energy: -2.7 eV/f.u.
* magnetic moment: 0.000 μB per cell
* calculated density: 3.81 g/cm3
* space-group type: P1 (1)

Cell lengths 7.4039, 6.5377, 6.1398 Å; angles 62.26, 94.53, 95.86 degrees
Last column: nearest neighbours and their distance in Å.
Fractional positions:
Se1 0.4403 0.3352 0.3613  2 Al 2.41-2.42
Al1 0.6966 0.3653 0.1263  4 Se 2.41-2.42
Se2 0.6814 0.6859 0.7142  2 Al 2.42-2.43
In1 0.3579 0.8106 0.9436  3 Se 3.03-3.22
Se3 0.7094 0.0454 0.0329  2 Al 2.42-2.43
Se4 0.9504 0.3955 0.3832  2 Al 2.41
In2 0.0413 0.9182 0.4472  3 Se 3.10-3.27
Al2 0.6947 0.3661 0.6194  4 Se 2.41-2.43

=====

[2]
Below is a geometry-optimized AlIn2Se structure, with properties calculated at the PBE level.

Values from the calculation:
* uncorrected formation energy: -0.1 eV/f.u.
* magnetic moment: 0.000 μB per cell
* calculated density: 5.53 g/cm3
* space-group type: P2/m (10)

Cell lengths 3.8529, 5.3224, 5.3352 Å; angles 67.10, 90.00, 90.00 degrees
Last column: nearest neighbours and their distance in Å.
Fractional positions:
In1 0.0000 0.4937 0.4936  2 Se 2.90, 2 In 2.95, 2 Al 2.98
Al1 0.5000 0.7500 0.7500  2 Se 2.95, 4 In 2.98
Se1 0.5000 0.2500 0.2500  4 In 2.90, 2 Al 2.95
In2 0.0000 0.0063 0.0064  2 Se 2.90, 2 In 2.95, 2 Al 2.98

=====

Values of energy, in order: -16.11, -12.83, all in eV per formula unit.